No. 1
Density functional theory data (PBE) for a relaxed structure of ZrCl.

```
data_ZrCl
_chemical_formula_sum 'Zr1 Cl1'
_space_group_name_H-M_alt 'P 1'
_space_group_IT_number 1
_cell_length_a 4.7210
_cell_length_b 4.7210
_cell_length_c 4.7210
_cell_angle_alpha 39.73
_cell_angle_beta 39.73
_cell_angle_gamma 39.73
loop_
_space_group_symop_operation_xyz
'x,y,z'
loop_
_atom_site_label
_atom_site_type_symbol
_atom_site_fract_x
_atom_site_fract_y
_atom_site_fract_z
Zr1 Zr 0.0000 0.0000 0.0000
Cl1 Cl 0.5000 0.5000 0.5000
```

Results
Spin magnetization in μB per atom: 0.000
Uncorrected energy in eV/atom: -5.840


No. 2
Density functional theory data (PBE) for a relaxed structure of PmErGePt.

```
data_PmErGePt
_chemical_formula_sum 'Pm1 Er1 Ge1 Pt1'
_space_group_name_H-M_alt 'P 1'
_space_group_IT_number 1
_cell_length_a 5.0552
_cell_length_b 5.0552
_cell_length_c 5.0552
_cell_angle_alpha 60.00
_cell_angle_beta 60.00
_cell_angle_gamma 60.00
loop_
_space_group_symop_operation_xyz
'x,y,z'
loop_
_atom_site_label
_atom_site_type_symbol
_atom_site_fract_x
_atom_site_fract_y
_atom_site_fract_z
Pm1 Pm 0.0000 0.0000 0.0000
Er1 Er 0.5000 0.5000 0.5000
Ge1 Ge 0.2500 0.2500 0.2500
Pt1 Pt 0.7500 0.7500 0.7500
```

Results
Spin magnetization in μB per atom: 0.001
Uncorrected energy in eV/atom: -5.890
Energy of formation from the pure elements in eV/atom: -0.897
Relative energy among the computed polymorphs in meV/atom: 134.8


No. 3
Density functional theory data (PBE) for a relaxed structure of Al2MoSe.

```
data_Al2MoSe
_chemical_formula_sum 'Al2 Mo1 Se1'
_space_group_name_H-M_alt 'P 1'
_space_group_IT_number 1
_cell_length_a 2.8914
_cell_length_b 2.8914
_cell_length_c 8.1288
_cell_angle_alpha 90.00
_cell_angle_beta 90.00
_cell_angle_gamma 90.00
loop_
_space_group_symop_operation_xyz
'x,y,z'
loop_
_atom_site_label
_atom_site_type_symbol
_atom_site_fract_x
_atom_site_fract_y
_atom_site_fract_z
Al1 Al 0.0000 0.0000 0.2271
Al2 Al 0.0000 0.0000 0.7729
Mo1 Mo 0.5000 0.5000 0.0000
Se1 Se 0.5000 0.5000 0.5000
```

Results
Spin magnetization in μB per atom: 0.038
Uncorrected energy in eV/atom: -5.348


No. 4
Density functional theory data (PBE) for a relaxed structure of Pm2Dy2Y2Tm.

```
data_Pm2Dy2Y2Tm
_chemical_formula_sum 'Pm2 Dy2 Y2 Tm1'
_space_group_name_H-M_alt 'P 1'
_space_group_IT_number 1
_cell_length_a 8.8074
_cell_length_b 8.8074
_cell_length_c 8.8074
_cell_angle_alpha 37.72
_cell_angle_beta 37.72
_cell_angle_gamma 37.72
loop_
_space_group_symop_operation_xyz
'x,y,z'
loop_
_atom_site_label
_atom_site_type_symbol
_atom_site_fract_x
_atom_site_fract_y
_atom_site_fract_z
Pm1 Pm 0.1388 0.1388 0.1388
Pm2 Pm 0.8612 0.8612 0.8612
Dy1 Dy 0.4268 0.4268 0.4268
Dy2 Dy 0.5732 0.5732 0.5732
Y1 Y 0.2858 0.2858 0.2858
Y2 Y 0.7142 0.7142 0.7142
Tm1 Tm 0.0000 0.0000 0.0000
```

Results
Spin magnetization in μB per atom: 0.054
Uncorrected energy in eV/atom: -5.019
Energy of formation from the pure elements in eV/atom: 0.139


No. 5
Density functional theory data (PBE) for a relaxed structure of Cs3Tl8Au3.

```
data_Cs3Tl8Au3
_chemical_formula_sum 'Cs3 Tl8 Au3'
_space_group_name_H-M_alt 'P 1'
_space_group_IT_number 1
_cell_length_a 10.1329
_cell_length_b 10.1329
_cell_length_c 10.1329
_cell_angle_alpha 149.88
_cell_angle_beta 103.24
_cell_angle_gamma 84.61
loop_
_space_group_symop_operation_xyz
'x,y,z'
loop_
_atom_site_label
_atom_site_type_symbol
_atom_site_fract_x
_atom_site_fract_y
_atom_site_fract_z
Cs1 Cs 0.0000 0.0000 0.0000
Cs2 Cs 0.3342 0.3342 0.0000
Cs3 Cs 0.6658 0.6658 0.0000
Tl1 Tl 0.0300 0.6845 0.3455
Tl2 Tl 0.1879 0.8956 0.2923
Tl3 Tl 0.3390 0.6845 0.6545
Tl4 Tl 0.3968 0.1044 0.2923
Tl5 Tl 0.6032 0.8956 0.7077
Tl6 Tl 0.6610 0.3155 0.3455
Tl7 Tl 0.8121 0.1044 0.7077
Tl8 Tl 0.9700 0.3155 0.6545
Au1 Au 0.2351 0.5000 0.7351
Au2 Au 0.5000 0.0000 0.5000
Au3 Au 0.7649 0.5000 0.2649
```

Results
Spin magnetization in μB per atom: 0.000
Uncorrected energy in eV/atom: -2.342
Energy of formation from the pure elements in eV/atom: -0.105


No. 6
Density functional theory data (PBE) for a relaxed structure of YNiMo2.

```
data_YNiMo2
_chemical_formula_sum 'Y1 Ni1 Mo2'
_space_group_name_H-M_alt 'P 1'
_space_group_IT_number 1
_cell_length_a 5.2174
_cell_length_b 5.2174
_cell_length_c 5.2174
_cell_angle_alpha 142.17
_cell_angle_beta 124.17
_cell_angle_gamma 69.42
loop_
_space_group_symop_operation_xyz
'x,y,z'
loop_
_atom_site_label
_atom_site_type_symbol
_atom_site_fract_x
_atom_site_fract_y
_atom_site_fract_z
Y1 Y 0.0000 0.0000 0.0000
Ni1 Ni 0.7325 0.2325 0.5000
Mo1 Mo 0.2813 0.7813 0.5000
Mo2 Mo 0.4980 0.4980 0.0000
```

Results
Spin magnetization in μB per atom: 0.000
Uncorrected energy in eV/atom: -8.156
Energy of formation from the pure elements in eV/atom: 0.321
Relative energy among the computed polymorphs in meV/atom: 203.7


No. 7
Density functional theory data (PBE) for a relaxed structure of Li2CdIrN.

```
data_Li2CdIrN
_chemical_formula_sum 'Li2 Cd1 Ir1 N1'
_space_group_name_H-M_alt 'P 1'
_space_group_IT_number 1
_cell_length_a 4.3311
_cell_length_b 4.3311
_cell_length_c 3.7627
_cell_angle_alpha 90.00
_cell_angle_beta 90.00
_cell_angle_gamma 90.00
loop_
_space_group_symop_operation_xyz
'x,y,z'
loop_
_atom_site_label
_atom_site_type_symbol
_atom_site_fract_x
_atom_site_fract_y
_atom_site_fract_z
Li1 Li 0.0000 0.5000 0.0000
Li2 Li 0.5000 0.0000 0.0000
Cd1 Cd 0.0000 0.0000 0.5000
Ir1 Ir 0.5000 0.5000 0.5000
N1 N 0.5000 0.5000 0.0000
```

Results
Spin magnetization in μB per atom: 0.000
Uncorrected energy in eV/atom: -4.667
Relative energy among the computed polymorphs in meV/atom: 0.0


No. 8
Density functional theory data (PBE) for a relaxed structure of K3TaAs3.

```
data_K3TaAs3
_chemical_formula_sum 'K6 Ta2 As6'
_space_group_name_H-M_alt 'P 1'
_space_group_IT_number 1
_cell_length_a 8.2794
_cell_length_b 8.2794
_cell_length_c 8.1575
_cell_angle_alpha 97.77
_cell_angle_beta 97.77
_cell_angle_gamma 113.55
loop_
_space_group_symop_operation_xyz
'x,y,z'
loop_
_atom_site_label
_atom_site_type_symbol
_atom_site_fract_x
_atom_site_fract_y
_atom_site_fract_z
K1 K 0.1745 0.8255 0.0000
K2 K 0.2572 0.7428 0.5000
K3 K 0.3860 0.3860 0.1469
K4 K 0.6140 0.6140 0.8531
K5 K 0.7428 0.2572 0.5000
K6 K 0.8255 0.1745 0.0000
Ta1 Ta 0.1678 0.1678 0.6508
Ta2 Ta 0.8322 0.8322 0.3492
As1 As 0.1062 0.1062 0.3301
As2 As 0.1548 0.4449 0.7791
As3 As 0.4449 0.1548 0.7791
As4 As 0.5551 0.8452 0.2209
As5 As 0.8452 0.5551 0.2209
As6 As 0.8938 0.8938 0.6699
```

Results
Spin magnetization in μB per atom: 0.097
Uncorrected energy in eV/atom: -4.545
Energy of formation from the pure elements in eV/atom: -0.389


No. 9
Density functional theory data (PBE) for a relaxed structure of Tl3Sn.

```
data_Tl3Sn
_chemical_formula_sum 'Tl6 Sn2'
_space_group_name_H-M_alt 'P 1'
_space_group_IT_number 1
_cell_length_a 7.1023
_cell_length_b 7.1023
_cell_length_c 5.6536
_cell_angle_alpha 90.00
_cell_angle_beta 90.00
_cell_angle_gamma 122.47
loop_
_space_group_symop_operation_xyz
'x,y,z'
loop_
_atom_site_label
_atom_site_type_symbol
_atom_site_fract_x
_atom_site_fract_y
_atom_site_fract_z
Tl1 Tl 0.1717 0.3330 0.7500
Tl2 Tl 0.1780 0.8220 0.7500
Tl3 Tl 0.3330 0.1717 0.2500
Tl4 Tl 0.6670 0.8283 0.7500
Tl5 Tl 0.8220 0.1780 0.2500
Tl6 Tl 0.8283 0.6670 0.2500
Sn1 Sn 0.3325 0.6675 0.2500
Sn2 Sn 0.6675 0.3325 0.7500
```

Results
Spin magnetization in μB per atom: 0.000
Uncorrected energy in eV/atom: -2.751
Energy of formation from the pure elements in eV/atom: 0.024


No. 10
Density functional theory data (PBE) for a relaxed structure of RbHfMg14O15.

```
data_RbHfMg14O15
_chemical_formula_sum 'Rb1 Hf1 Mg14 O15'
_space_group_name_H-M_alt 'P 1'
_space_group_IT_number 1
_cell_length_a 4.1375
_cell_length_b 8.3426
_cell_length_c 11.1646
_cell_angle_alpha 90.00
_cell_angle_beta 90.00
_cell_angle_gamma 90.00
loop_
_space_group_symop_operation_xyz
'x,y,z'
loop_
_atom_site_label
_atom_site_type_symbol
_atom_site_fract_x
_atom_site_fract_y
_atom_site_fract_z
Rb1 Rb 0.0000 0.0000 0.0000
Hf1 Hf 0.0000 0.5000 0.0753
Mg1 Mg 0.0000 0.0000 0.5405
Mg2 Mg 0.0000 0.2454 0.7383
Mg3 Mg 0.0000 0.2464 0.3368
Mg4 Mg 0.0000 0.5000 0.5250
Mg5 Mg 0.0000 0.7536 0.3368
Mg6 Mg 0.0000 0.7546 0.7383
Mg7 Mg 0.5000 0.0000 0.3370
Mg8 Mg 0.5000 0.0000 0.7311
Mg9 Mg 0.5000 0.2346 0.1559
Mg10 Mg 0.5000 0.2577 0.5453
Mg11 Mg 0.5000 0.5000 0.3380
Mg12 Mg 0.5000 0.5000 0.8238
Mg13 Mg 0.5000 0.7423 0.5453
Mg14 Mg 0.5000 0.7654 0.1559
O1 O 0.0000 0.0000 0.3615
O2 O 0.0000 0.0000 0.7444
O3 O 0.0000 0.2562 0.5533
O4 O 0.0000 0.2770 0.1385
O5 O 0.0000 0.5000 0.3448
O6 O 0.0000 0.7230 0.1385
O7 O 0.0000 0.7438 0.5533
O8 O 0.5000 0.0000 0.1496
O9 O 0.5000 0.0000 0.5499
O10 O 0.5000 0.2497 0.3414
O11 O 0.5000 0.2565 0.7491
O12 O 0.5000 0.5000 0.1414
O13 O 0.5000 0.5000 0.5315
O14 O 0.5000 0.7435 0.7491
O15 O 0.5000 0.7503 0.3414
```

Results
Spin magnetization in μB per atom: 0.000
Uncorrected energy in eV/atom: -5.889
Relative energy among the computed polymorphs in meV/atom: 0.0


- Which of these has the lowest uncorrected energy?
  YNiMo2


- Which formula does entry 1 have?
  ZrCl


Please write out number 3 again, unchanged.
Density functional theory data (PBE) for a relaxed structure of Al2MoSe.

```
data_Al2MoSe
_chemical_formula_sum 'Al2 Mo1 Se1'
_space_group_name_H-M_alt 'P 1'
_space_group_IT_number 1
_cell_length_a 2.8914
_cell_length_b 2.8914
_cell_length_c 8.1288
_cell_angle_alpha 90.00
_cell_angle_beta 90.00
_cell_angle_gamma 90.00
loop_
_space_group_symop_operation_xyz
'x,y,z'
loop_
_atom_site_label
_atom_site_type_symbol
_atom_site_fract_x
_atom_site_fract_y
_atom_site_fract_z
Al1 Al 0.0000 0.0000 0.2271
Al2 Al 0.0000 0.0000 0.7729
Mo1 Mo 0.5000 0.5000 0.0000
Se1 Se 0.5000 0.5000 0.5000
```

Results
Spin magnetization in μB per atom: 0.038
Uncorrected energy in eV/atom: -5.348


- spin magnetization of number 6 (YNiMo2)?
  0.000 μB per atom